(1)
VASP calculation (PBE-GGA) on a geometry-optimized ZrAgAu2 structure.

a = 3.0580 Å, b = 3.0580 Å, c = 28.5420 Å
α = 90.00°, β = 90.00°, γ = 120.00°
Space group R3m (No. 160, hexagonal axes)
Unique sites:
Zr (0.0000, 0.0000, 0.0000) (multiplicity 3)
Ag (0.0000, 0.0000, 0.2461) (multiplicity 3)
Au (0.0000, 0.0000, 0.4982) (multiplicity 3)
Au (0.0000, 0.0000, 0.7490) (multiplicity 3)

Values from the calculation:
For the formation energy, the calculation gives -78 meV per atom. The value obtained for the energy above the lowest structure with this stoichiometry is 317.0 meV per atom. For the total moment, the calculation gives 0.00 Bohr magnetons per cell.

---

(2)
VASP calculation (PBE-GGA) on a geometry-optimized ErZnCu structure.

a = 4.3162 Å, b = 4.3162 Å, c = 3.5343 Å
α = 90.00°, β = 90.00°, γ = 120.00°
Space group P-6m2 (No. 187)
Unique sites:
Er (0.0000, 0.0000, 0.0000) (multiplicity 1)
Zn (0.6667, 0.3333, 0.5000) (multiplicity 1)
Cu (0.3333, 0.6667, 0.5000) (multiplicity 1)

Values from the calculation:
For the formation energy, the calculation gives -321 meV per atom. For the total moment, the calculation gives 0.00 Bohr magnetons per cell.